No. 1
NaCuH3: optimized geometry, GGA-PBE.

Unit cell a=3.4130 b=3.4130 c=9.4200 alpha=79.56 beta=79.56 gamma=90.00
Element x y z (fractional)
Na: 0.6380 0.1380 0.7240
Na: 0.8620 0.3620 0.2760
Cu: 0.0000 0.0000 0.0000
Cu: 0.2500 0.7500 0.5000
H: 0.2593 0.9357 0.1286
H: 0.0643 0.7407 0.8714
H: 0.0643 0.3879 0.8714
H: 0.6121 0.9357 0.1286
H: 0.2787 0.2787 0.4426
H: 0.7213 0.7213 0.5574

## Properties
As for the symmetry: I-4m2, No. 119. The value obtained for the energy relative to the lowest polymorph listed for this composition is 252 meV per atom. Its total magnetization is 0.00 μB per atom.

---

No. 2
LiSiW2: optimized geometry, GGA-PBE.

Unit cell a=4.1692 b=2.6908 c=5.2411 alpha=77.85 beta=90.00 gamma=90.00
Element x y z (fractional)
Li: 0.5000 0.2500 0.2500
Si: 0.5000 0.7500 0.7500
W: 0.0000 0.9971 0.0023
W: 0.0000 0.5029 0.4977

## Properties
As for the symmetry: P2/m, No. 10. Its uncorrected energy is -8.080 eV per atom. Its total magnetization is 0.00 μB per atom.

---

No. 3
Tb5PrTh2: optimized geometry, GGA-PBE.

Unit cell a=3.5453 b=8.8994 c=8.8994 alpha=78.41 beta=78.51 gamma=78.51
Element x y z (fractional)
Tb: 0.0000 0.5000 0.5000
Tb: 0.6317 0.5971 0.1395
Tb: 0.3683 0.4029 0.8605
Tb: 0.3683 0.8605 0.4029
Tb: 0.6317 0.1395 0.5971
Pr: 0.0000 0.0000 0.0000
Th: 0.7391 0.7609 0.7609
Th: 0.2609 0.2391 0.2391

## Properties
As for the symmetry: Immm, No. 71. Its formation energy is 0.097 eV per atom. Its total magnetization is 0.00 μB per atom.

---

No. 4
La2Tb2YHo: optimized geometry, GGA-PBE.

Unit cell a=5.7027 b=7.1094 c=9.9049 alpha=90.00 beta=90.00 gamma=90.00
Element x y z (fractional)
La: 0.5000 0.0075 0.0000
La: 0.0000 0.2575 0.1751
La: 0.5000 0.5075 0.0000
La: 0.0000 0.7575 0.8249
Tb: 0.0000 0.2575 0.8336
Tb: 0.5000 0.2577 0.3337
Tb: 0.0000 0.7575 0.1664
Tb: 0.5000 0.7577 0.6663
Y: 0.0000 0.0077 0.5000
Y: 0.0000 0.5077 0.5000
Ho: 0.5000 0.2577 0.6591
Ho: 0.5000 0.7577 0.3409

## Properties
As for the symmetry: Pmma, No. 51. Its formation energy is 0.061 eV per atom. Its total magnetization is 0.00 μB per atom.